A relaxed MnGaRhO6 crystal. Source: Alexandria, functional PBE with a Hubbard U.

## Properties
- E (eV per atom) = -6.422
- SG = No. 102
- D(E_F) (states/eV/atom) = 0.25

Lattice parameters (Å, degrees): 4.540 4.540 9.096 90.00 90.00 90.00
Element x y z (fractional)
Mn: 0.000 0.000 0.000
Mn: 0.500 0.500 0.500
Ga: 0.000 0.000 0.332
Ga: 0.500 0.500 0.832
Rh: 0.000 0.000 0.666
Rh: 0.500 0.500 0.166
O: 0.191 0.191 0.837
O: 0.193 0.193 0.163
O: 0.198 0.198 0.498
O: 0.302 0.698 0.998
O: 0.307 0.693 0.663
O: 0.309 0.691 0.337
O: 0.691 0.309 0.337
O: 0.693 0.307 0.663
O: 0.698 0.302 0.998
O: 0.802 0.802 0.498
O: 0.807 0.807 0.163
O: 0.809 0.809 0.837